1.
First-principles (GGA-PBE) data for a relaxed Th7Bi2Ir2 crystal, as listed in Alexandria.

abc: 3.9684 9.8904 9.8904
angles: 61.36 78.43 78.43
With the nearest neighbours (Å) after each atom.
Element x y z (fractional)
Ir (0.7344, 0.8567, 0.6745)  6 Th 2.91-2.97
Th (0.8464, 0.4192, 0.8880)  2 Ir 2.97
Th (0.6355, 0.4652, 0.2638)  2 Ir 2.93
Bi (0.5000, 0.3560, 0.6440)  7 Th 3.30-3.35
Th (0.5000, 0.0290, 0.9710)  3 Bi 3.30-3.39
Th (0.3645, 0.7362, 0.5348)  2 Ir 2.93
Th (0.8192, 0.0796, 0.2819)  2 Ir 2.91
Th (0.1808, 0.7181, 0.9204)  2 Ir 2.91
Th (0.1536, 0.1120, 0.5808)  2 Ir 2.97
Ir (0.2656, 0.3255, 0.1433)  6 Th 2.91-2.97
Bi (0.0000, 0.7564, 0.2436)  8 Th 3.32-3.39

The calculation puts the offset from the most stable computed form at 0.0 meV/atom. Its raw total energy is -7.597 eV per atom. Its formation energy is -0.5582 eV per atom.

2.
First-principles (GGA-PBE) data for a relaxed RbAc4Sn5 crystal, as listed in Alexandria.

abc: 4.3539 4.3539 19.2436
angles: 90.00 90.00 90.00
With the nearest neighbours (Å) after each atom.
Element x y z (fractional)
Ac (0.0000, 0.0000, 0.2109)  8 Sn 3.41-3.55, 1 Ac 3.68
Sn (0.5000, 0.5000, 0.1349)  1 Sn 3.23, 4 Ac 3.41
Ac (0.0000, 0.0000, 0.4022)  8 Sn 3.61-3.62, 2 Ac 3.68-3.76
Rb (0.0000, 0.0000, 0.0000)  8 Sn 4.03, 2 Ac 4.06, 4 Rb 4.35
Sn (0.5000, 0.5000, 0.5000)  8 Ac 3.61, 2 Sn 3.79
Sn (0.5000, 0.5000, 0.8651)  1 Sn 3.23, 4 Ac 3.41
Sn (0.5000, 0.5000, 0.6971)  1 Sn 3.23, 4 Ac 3.55
Sn (0.5000, 0.5000, 0.3029)  1 Sn 3.23, 4 Ac 3.55
Ac (0.0000, 0.0000, 0.5978)  8 Sn 3.61-3.62, 2 Ac 3.68-3.76
Ac (0.0000, 0.0000, 0.7891)  8 Sn 3.41-3.55, 1 Ac 3.68

Its raw total energy is -4.239 eV per atom. Its formation energy is -0.4979 eV per atom.

3.
First-principles (GGA-PBE) data for a relaxed BeCd3Sn crystal, as listed in Alexandria.

abc: 4.8257 4.8257 4.8257
angles: 90.00 90.00 90.00
With the nearest neighbours (Å) after each atom.
Element x y z (fractional)
Cd (0.0000, 0.0000, 0.5000)  2 Be 2.41
Cd (0.5000, 0.0000, 0.0000)  2 Be 2.41
Be (0.0000, 0.0000, 0.0000)  6 Cd 2.41
Cd (0.0000, 0.5000, 0.0000)  2 Be 2.41
Sn (0.5000, 0.5000, 0.5000)  12 Cd 3.41

The calculation puts the offset from the most stable computed form at 0.0 meV/atom. Its raw total energy is -1.778 eV per atom. Its formation energy is 0.3171 eV per atom.

4.
First-principles (GGA-PBE) data for a relaxed Sc3RuN crystal, as listed in Alexandria.

abc: 4.3511 4.3511 4.3511
angles: 90.00 90.00 90.00
With the nearest neighbours (Å) after each atom.
Element x y z (fractional)
Ru (0.5000, 0.5000, 0.5000)  12 Sc 3.08
Sc (0.0000, 0.0000, 0.5000)  2 N 2.18
N (0.0000, 0.0000, 0.0000)  6 Sc 2.18
Sc (0.5000, 0.0000, 0.0000)  2 N 2.18
Sc (0.0000, 0.5000, 0.0000)  2 N 2.18

Its raw total energy is -8.202 eV per atom. As for the formation energy from raw total energies: -883 meV/atom.

5.
First-principles (GGA-PBE) data for a relaxed TePd3Rh crystal, as listed in Alexandria.

abc: 4.8889 4.8889 4.8889
angles: 90.00 90.00 90.00
With the nearest neighbours (Å) after each atom.
Element x y z (fractional)
Rh (0.5000, 0.5000, 0.5000)  12 Pd 3.46
Pd (0.0000, 0.5000, 0.0000)  2 Te 2.44
Te (0.0000, 0.0000, 0.0000)  6 Pd 2.44
Pd (0.0000, 0.0000, 0.5000)  2 Te 2.44
Pd (0.5000, 0.0000, 0.0000)  2 Te 2.44

The calculation puts the offset from the most stable computed form at 0.0 meV/atom. Its raw total energy is -4.388 eV per atom. As for the formation energy from raw total energies: 827 meV/atom.

6.
First-principles (GGA-PBE) data for a relaxed Pm2Pd13 crystal, as listed in Alexandria.

abc: 7.4029 7.4029 7.9881
angles: 62.40 62.40 60.00
With the nearest neighbours (Å) after each atom.
Element x y z (fractional)
Pd (0.1467, 0.5162, 0.8208)  6 Pd 2.66-2.79, 1 Pm 2.72
Pd (0.4838, 0.4838, 0.1792)  6 Pd 2.66-2.79, 1 Pm 2.72
Pd (0.8866, 0.2591, 0.5952)  8 Pd 2.76-3.02, 1 Pm 2.94
Pd (0.1134, 0.7409, 0.4048)  8 Pd 2.76-3.02, 1 Pm 2.94
Pd (0.7409, 0.7409, 0.4048)  8 Pd 2.76-3.02, 1 Pm 2.94
Pd (0.2591, 0.8866, 0.5952)  8 Pd 2.76-3.02, 1 Pm 2.94
Pd (0.5000, 0.5000, 0.5000)  12 Pd 2.68-2.76
Pd (0.5162, 0.1467, 0.8208)  6 Pd 2.66-2.79, 1 Pm 2.72
Pm (0.7432, 0.7432, 0.7704)  6 Pd 2.72-2.94
Pd (0.5162, 0.5162, 0.8208)  6 Pd 2.66-2.79, 1 Pm 2.72
Pm (0.2568, 0.2568, 0.2296)  6 Pd 2.72-2.94
Pd (0.7409, 0.1134, 0.4048)  8 Pd 2.76-3.02, 1 Pm 2.94
Pd (0.4838, 0.8533, 0.1792)  6 Pd 2.66-2.79, 1 Pm 2.72
Pd (0.2591, 0.2591, 0.5952)  8 Pd 2.76-3.02, 1 Pm 2.94
Pd (0.8533, 0.4838, 0.1792)  6 Pd 2.66-2.79, 1 Pm 2.72

Its raw total energy is -5.123 eV per atom. Its formation energy is 0.0109 eV per atom.

7.
First-principles (GGA-PBE) data for a relaxed TcHgCl2 crystal, as listed in Alexandria.

abc: 6.2261 6.2261 6.2261
angles: 141.89 141.89 54.99
With the nearest neighbours (Å) after each atom.
Element x y z (fractional)
Tc (0.7500, 0.2500, 0.5000)  4 Cl 2.87
Cl (0.0000, 0.0000, 0.0000)  4 Hg 2.87
Cl (0.2500, 0.7500, 0.5000)  4 Tc 2.87
Hg (0.5000, 0.5000, 0.0000)  4 Cl 2.87

The calculation puts the offset from the most stable computed form at 674.9 meV/atom. Its raw total energy is -3.062 eV per atom. As for the formation energy from raw total energies: 529 meV/atom.

8.
First-principles (GGA-PBE) data for a relaxed RbPb4Au crystal, as listed in Alexandria.

abc: 7.0453 6.8761 13.2937
angles: 135.93 105.32 90.06
With the nearest neighbours (Å) after each atom.
Element x y z (fractional)
Pb (0.4283, 0.0117, 0.7258)  2 Au 3.12-3.24, 3 Pb 3.17-3.48
Pb (0.7030, 0.5687, 0.6378)  2 Au 2.96-3.00, 2 Pb 3.17-3.24
Pb (0.2969, 0.5128, 0.7265)  2 Au 3.12-3.25, 3 Pb 3.17-3.49
Pb (0.2970, 0.4313, 0.3622)  2 Au 2.96-3.00, 2 Pb 3.17-3.24
Au (0.5000, 0.0000, 0.5000)  8 Pb 2.96-3.25
Rb (0.8256, 0.7492, 0.9998)  8 Pb 3.75-3.91
Rb (0.1744, 0.2508, 0.0002)  8 Pb 3.75-3.91
Pb (0.9342, 0.0679, 0.6373)  2 Au 2.96-3.00, 2 Pb 3.17-3.24
Pb (0.0658, 0.9321, 0.3627)  2 Au 2.96-3.00, 2 Pb 3.17-3.24
Au (0.0000, 0.5000, 0.5000)  8 Pb 2.96-3.24
Pb (0.5717, 0.9883, 0.2742)  2 Au 3.12-3.24, 3 Pb 3.17-3.48
Pb (0.7031, 0.4872, 0.2735)  2 Au 3.12-3.25, 3 Pb 3.17-3.49

The calculation puts the offset from the most stable computed form at 44.3 meV/atom. Its raw total energy is -3.247 eV per atom. Its formation energy is -0.0673 eV per atom.

9.
First-principles (GGA-PBE) data for a relaxed Ti3TlOs crystal, as listed in Alexandria.

abc: 4.7820 4.7820 4.7820
angles: 90.00 90.00 90.00
With the nearest neighbours (Å) after each atom.
Element x y z (fractional)
Ti (0.0000, 0.5000, 0.0000)  2 Os 2.39
Os (0.0000, 0.0000, 0.0000)  6 Ti 2.39
Ti (0.5000, 0.0000, 0.0000)  2 Os 2.39
Ti (0.0000, 0.0000, 0.5000)  2 Os 2.39
Tl (0.5000, 0.5000, 0.5000)  12 Ti 3.38

The calculation puts the offset from the most stable computed form at 0.0 meV/atom. Its raw total energy is -7.079 eV per atom. Its formation energy is 0.3775 eV per atom.

10.
First-principles (GGA-PBE) data for a relaxed YAs2PW crystal, as listed in Alexandria.

abc: 5.1944 5.0022 5.1944
angles: 90.00 90.00 90.00
With the nearest neighbours (Å) after each atom.
Element x y z (fractional)
W (0.5000, 0.5000, 0.5000)  8 As 3.61, 4 P 3.67
As (0.0000, 0.0000, 0.5000)  2 Y 2.60
P (0.0000, 0.5000, 0.0000)  2 Y 2.50
Y (0.0000, 0.0000, 0.0000)  2 P 2.50, 4 As 2.60
As (0.5000, 0.0000, 0.0000)  2 Y 2.60

Its raw total energy is -5.085 eV per atom. Its formation energy is 1.7400 eV per atom.

11.
First-principles (GGA-PBE) data for a relaxed SmFeTcP2 crystal, as listed in Alexandria.

abc: 4.0130 4.0130 5.6598
angles: 110.76 110.76 90.00
With the nearest neighbours (Å) after each atom.
Element x y z (fractional)
Tc (0.2500, 0.7500, 0.5000)  4 P 2.30
P (0.3648, 0.3648, 0.7297)  2 Fe 2.30, 2 Tc 2.30
Sm (0.0000, 0.0000, 0.0000)  8 P 3.13, 4 Tc 3.17, 4 Fe 3.17
P (0.6352, 0.6352, 0.2703)  2 Tc 2.30, 2 Fe 2.30
Fe (0.7500, 0.2500, 0.5000)  4 P 2.30

Its raw total energy is -7.784 eV per atom. Its formation energy is -0.9108 eV per atom.

12.
First-principles (GGA-PBE) data for a relaxed BaLi4Hg12 crystal, as listed in Alexandria.

abc: 8.3699 8.3699 8.3699
angles: 109.47 109.47 109.47
With the nearest neighbours (Å) after each atom.
Element x y z (fractional)
Hg (0.8135, 0.1602, 0.6533)  2 Li 2.73, 1 Hg 2.96
Ba (0.0000, 0.0000, 0.0000)  12 Hg 3.69
Hg (0.6533, 0.8135, 0.1602)  2 Li 2.73, 1 Hg 2.96
Hg (0.6533, 0.4931, 0.8398)  2 Li 2.73, 1 Hg 2.96
Li (0.0000, 0.5000, 0.0000)  6 Hg 2.73
Li (0.5000, 0.0000, 0.0000)  6 Hg 2.73
Hg (0.3467, 0.1865, 0.8398)  2 Li 2.73, 1 Hg 2.96
Li (0.5000, 0.5000, 0.5000)  6 Hg 2.73
Hg (0.3467, 0.5069, 0.1602)  2 Li 2.73, 1 Hg 2.96
Hg (0.8398, 0.6533, 0.4931)  2 Li 2.73, 1 Hg 2.96
Hg (0.8398, 0.3467, 0.1865)  2 Li 2.73, 1 Hg 2.96
Hg (0.4931, 0.8398, 0.6533)  2 Li 2.73, 1 Hg 2.96
Hg (0.1602, 0.3467, 0.5069)  2 Li 2.73, 1 Hg 2.96
Li (0.0000, 0.0000, 0.5000)  6 Hg 2.73
Hg (0.1865, 0.8398, 0.3467)  2 Li 2.73, 1 Hg 2.96
Hg (0.1602, 0.6533, 0.8135)  2 Li 2.73, 1 Hg 2.96
Hg (0.5069, 0.1602, 0.3467)  2 Li 2.73, 1 Hg 2.96

Its raw total energy is -0.966 eV per atom. Its formation energy is -0.1898 eV per atom.